Sc2TlPt | the Alexandria database | PBE | relaxed; energy of formation from the pure elements = -0.607 eV/atom
1.0
1.805 1.042 8.228
-1.805 1.042 8.228
0.000 -2.084 8.228
Sc Tl Pt
2 1 1
Direct
0.235 0.235 0.235
0.765 0.765 0.765
0.000 0.000 0.000
0.500 0.500 0.500